Material: Sc2FeTc
Method: DFT, PBE-GGA
State: optimized geometry

Structure (POSCAR):
```
Sc2FeTc
1.0
0.000 3.169 3.169
3.169 0.000 3.169
3.169 3.169 0.000
Sc Fe Tc
2 1 1
Direct
0.000 0.000 0.000
0.250 0.250 0.250
0.750 0.750 0.750
0.500 0.500 0.500
```

Results
Its symmetry is F-43m, No. 216. The total energy comes out at -0.2847 hartree per atom. The volume is 63.7 Å³ per cell. Its crystal system is cubic. The calculation puts the formation energy at 0.127 eV per atom.